First-principles (meta-GGA SCAN) data for Hf2FePtW at its PBEsol-relaxed geometry, as listed in Alexandria.

Geometry as POSCAR:
```
Hf2FePtW
1.0
4.935 0.000 0.000
0.000 4.935 0.000
0.000 0.000 4.734
Hf Fe Pt W
2 1 1 1
Direct
0.000 0.500 0.000
0.500 0.000 0.000
0.000 0.000 0.500
0.500 0.500 0.000
0.500 0.500 0.500
```

Values from the calculation:
Total DFT energy (no corrections), eV per cell: -278.04
ΔH_f (0 K), meV per atom: 1063
Space-group type: P4/mmm (123)